Record 1
This record from Alexandria via LeMat-Bulk describes an optimized crystal structure of RbInPtBrCl. The functional is PBE-GGA.

Structure (POSCAR):
```
RbInPtBrCl
1.0
3.667 -2.117 0.000
3.667 2.117 0.000
-2.439 0.000 9.678
Rb In Pt Br Cl
1 1 1 1 1
Cartesian
0.000 0.000 0.000
4.908 0.000 4.588
2.462 0.000 5.687
0.008 0.000 7.293
4.890 0.000 1.983
```

## Properties
Total moment   0.0 Bohr magnetons per cell
Energy relative to the lowest polymorph listed for this composition   0.017 eV/atom
ΔE_f (raw)   -867.2 meV per atom
Symmetry   Cm, No. 8

Record 2
This record from Alexandria via LeMat-Bulk describes an optimized crystal structure of RbInPtBrCl. The functional is PBE-GGA.

Structure (POSCAR):
```
RbInPtBrCl
1.0
4.186 0.000 0.000
-0.027 4.538 0.000
-0.439 -0.117 9.009
Rb In Pt Br Cl
1 1 1 1 1
Cartesian
0.000 0.000 0.000
1.269 1.307 4.405
3.390 1.825 2.983
1.633 3.859 6.269
2.072 2.291 1.029
```

## Properties
Total moment   0.0 Bohr magnetons per cell
Energy relative to the lowest polymorph listed for this composition   0.121 eV/atom
ΔE_f (raw)   -763.3 meV per atom
Symmetry   P1, No. 1

Record 3
This record from Alexandria via LeMat-Bulk describes an optimized crystal structure of RbInPtBrCl. The functional is PBE-GGA.

Structure (POSCAR):
```
RbInPtBrCl
1.0
3.791 0.000 0.000
0.000 1.797 9.771
0.000 -1.797 9.771
Rb In Pt Br Cl
1 1 1 1 1
Cartesian
0.000 0.000 0.000
1.896 0.000 14.237
0.000 0.000 5.447
1.896 0.000 7.538
1.896 0.000 11.647
```

## Properties
Total moment   0.0 Bohr magnetons per cell
Energy relative to the lowest polymorph listed for this composition   0.038 eV/atom
ΔE_f (raw)   -846.0 meV per atom
Symmetry   Amm2, No. 38

Record 4
This record from Alexandria via LeMat-Bulk describes an optimized crystal structure of RbInPtBrCl. The functional is PBE-GGA.

Structure (POSCAR):
```
RbInPtBrCl
1.0
4.009 0.000 0.000
0.000 4.009 0.000
0.000 0.000 8.779
Rb In Pt Br Cl
1 1 1 1 1
Cartesian
0.000 0.000 0.000
0.000 0.000 4.217
2.005 2.005 4.184
2.005 2.005 6.731
2.005 2.005 1.744
```

## Properties
Total moment   0.0 Bohr magnetons per cell
Energy relative to the lowest polymorph listed for this composition   0.000 eV/atom
ΔE_f (raw)   -884.0 meV per atom
Symmetry   P4mm, No. 99

Record 5
This record from Alexandria via LeMat-Bulk describes an optimized crystal structure of RbInPtBrCl. The functional is PBE-GGA.

Structure (POSCAR):
```
RbInPtBrCl
1.0
3.644 -2.111 0.000
3.644 2.111 0.000
-2.607 0.000 9.913
Rb In Pt Br Cl
1 1 1 1 1
Cartesian
0.000 0.000 0.000
1.779 0.000 4.981
-0.598 0.000 3.858
2.256 0.000 7.646
4.841 0.000 2.122
```

## Properties
Total moment   0.0 Bohr magnetons per cell
Energy relative to the lowest polymorph listed for this composition   0.064 eV/atom
ΔE_f (raw)   -819.6 meV per atom
Symmetry   Cm, No. 8

Record 6
This record from Alexandria via LeMat-Bulk describes an optimized crystal structure of RbInPtBrCl. The functional is PBE-GGA.

Structure (POSCAR):
```
RbInPtBrCl
1.0
8.320 -2.160 0.000
8.320 2.160 0.000
-0.026 0.000 4.597
Rb In Pt Br Cl
1 1 1 1 1
Cartesian
0.000 0.000 0.000
11.859 0.000 0.010
5.138 0.000 0.022
6.022 0.000 2.325
9.731 0.000 2.300
```

## Properties
Total moment   0.0 Bohr magnetons per cell
Energy relative to the lowest polymorph listed for this composition   0.125 eV/atom
ΔE_f (raw)   -759.4 meV per atom
Symmetry   Cm, No. 8

Record 7
This record from Alexandria via LeMat-Bulk describes an optimized crystal structure of RbInPtBrCl. The functional is PBE-GGA.

Structure (POSCAR):
```
RbInPtBrCl
1.0
2.111 1.219 9.738
-2.111 1.219 9.738
0.000 -2.437 9.738
Rb In Pt Br Cl
1 1 1 1 1
Cartesian
0.000 0.000 0.000
0.000 0.000 14.335
0.000 0.000 25.177
0.000 0.000 7.322
0.000 0.000 11.730
```

## Properties
Total moment   0.0 Bohr magnetons per cell
Energy relative to the lowest polymorph listed for this composition   0.018 eV/atom
ΔE_f (raw)   -865.7 meV per atom
Symmetry   R3m, No. 160

Record 8
This record from Alexandria via LeMat-Bulk describes an optimized crystal structure of RbInPtBrCl. The functional is PBE-GGA.

Structure (POSCAR):
```
RbInPtBrCl
1.0
4.125 0.000 0.000
-0.005 5.353 0.000
-1.989 -1.279 7.225
Rb In Pt Br Cl
1 1 1 1 1
Cartesian
0.000 0.000 0.000
2.043 3.598 3.086
-0.014 -0.336 3.740
2.054 1.235 4.575
2.052 2.636 0.690
```

## Properties
Total moment   0.0 Bohr magnetons per cell
Energy relative to the lowest polymorph listed for this composition   0.072 eV/atom
ΔE_f (raw)   -812.0 meV per atom
Symmetry   P1, No. 1

Record 9
This record from Alexandria via LeMat-Bulk describes an optimized crystal structure of RbInPtBrCl. The functional is PBE-GGA.

Structure (POSCAR):
```
RbInPtBrCl
1.0
5.494 0.000 0.000
0.000 4.138 0.000
-0.806 0.000 7.220
Rb In Pt Br Cl
1 1 1 1 1
Cartesian
0.000 0.000 0.000
2.762 2.069 4.293
4.202 0.000 3.717
0.313 2.069 2.935
1.871 2.069 6.736
```

## Properties
Total moment   0.0 Bohr magnetons per cell
Energy relative to the lowest polymorph listed for this composition   0.063 eV/atom
ΔE_f (raw)   -821.0 meV per atom
Symmetry   Pm, No. 6

Record 10
This record from Alexandria via LeMat-Bulk describes an optimized crystal structure of RbInPtBrCl. The functional is PBE-GGA.

Structure (POSCAR):
```
RbInPtBrCl
1.0
5.549 0.000 0.000
0.000 4.106 0.000
-1.031 0.000 6.987
Rb In Pt Br Cl
1 1 1 1 1
Cartesian
0.000 0.000 0.000
2.636 2.053 3.865
4.128 0.000 3.399
1.724 2.053 6.461
0.213 2.053 2.800
```

## Properties
Total moment   0.0 Bohr magnetons per cell
Energy relative to the lowest polymorph listed for this composition   0.091 eV/atom
ΔE_f (raw)   -792.9 meV per atom
Symmetry   Pm, No. 6

Record 11
This record from Alexandria via LeMat-Bulk describes an optimized crystal structure of RbInPtBrCl. The functional is PBE-GGA.

Structure (POSCAR):
```
RbInPtBrCl
1.0
4.965 0.000 0.000
-0.036 5.231 0.000
-1.366 -0.111 6.829
Rb In Pt Br Cl
1 1 1 1 1
Cartesian
0.000 0.000 0.000
0.828 2.591 3.870
0.776 -0.054 3.454
3.260 0.476 3.291
1.069 2.530 6.552
```

## Properties
Total moment   0.0 Bohr magnetons per cell
Energy relative to the lowest polymorph listed for this composition   0.116 eV/atom
ΔE_f (raw)   -768.3 meV per atom
Symmetry   P1, No. 1

Record 12
This record from Alexandria via LeMat-Bulk describes an optimized crystal structure of RbInPtBrCl. The functional is PBE-GGA.

Structure (POSCAR):
```
RbInPtBrCl
1.0
4.754 0.000 0.000
-0.012 5.306 0.000
-0.386 -0.033 6.715
Rb In Pt Br Cl
1 1 1 1 1
Cartesian
0.000 0.000 0.000
1.553 2.658 3.635
1.462 5.283 3.353
2.001 2.622 6.537
3.854 0.431 3.299
```

## Properties
Total moment   0.0 Bohr magnetons per cell
Energy relative to the lowest polymorph listed for this composition   0.141 eV/atom
ΔE_f (raw)   -743.3 meV per atom
Symmetry   P1, No. 1

Record 13
This record from Alexandria via LeMat-Bulk describes an optimized crystal structure of RbInPtBrCl. The functional is PBE-GGA.

Structure (POSCAR):
```
RbInPtBrCl
1.0
3.661 -2.116 0.000
3.661 2.116 0.000
-0.004 0.000 9.712
Rb In Pt Br Cl
1 1 1 1 1
Cartesian
0.000 0.000 0.000
4.888 0.000 5.125
0.008 0.000 4.026
2.444 0.000 2.410
4.875 0.000 7.731
```

## Properties
Total moment   0.0 Bohr magnetons per cell
Energy relative to the lowest polymorph listed for this composition   0.016 eV/atom
ΔE_f (raw)   -867.8 meV per atom
Symmetry   Cm, No. 8